[1]
Entry from OQMD via LeMat-Bulk: Y2AgW after structural relaxation (PBE-GGA).

## Properties
* crystal system: cubic

Lattice parameters (Å, degrees): 4.972 4.972 4.972 60.00 60.00 60.00
Last column: magnetic moment on the atom in μB.
Fractional coordinates of all 4 atoms:
Ag: 0.750 0.750 0.750  0.02
Y: 0.250 0.250 0.250  0.13
Y: 0.500 0.500 0.500  -0.04
W: 0.000 0.000 0.000  0.57


[2]
Entry from OQMD via LeMat-Bulk: YAgW2 after structural relaxation (PBE-GGA).

## Properties
* crystal system: cubic

Lattice parameters (Å, degrees): 4.726 4.726 4.726 60.00 60.00 60.00
Fractional coordinates of all 4 atoms:
Y: 0.750 0.750 0.750
W: 0.250 0.250 0.250
Ag: 0.500 0.500 0.500
W: 0.000 0.000 0.000


[3]
Entry from OQMD via LeMat-Bulk: Zn2AgW after structural relaxation (PBE-GGA).

## Properties
* crystal system: cubic

Lattice parameters (Å, degrees): 4.473 4.473 4.473 60.00 60.00 60.00
Last column: magnetic moment on the atom in μB.
Fractional coordinates of all 4 atoms:
Ag: 0.750 0.750 0.750  0.06
W: 0.000 0.000 0.000  1.37
Zn: 0.250 0.250 0.250  0.04
Zn: 0.500 0.500 0.500  -0.02


[4]
Entry from OQMD via LeMat-Bulk: ZnAg2W after structural relaxation (PBE-GGA).

## Properties
* crystal system: cubic

Lattice parameters (Å, degrees): 4.535 4.535 4.535 60.00 60.00 60.00
Last column: magnetic moment on the atom in μB.
Fractional coordinates of all 4 atoms:
Ag: 0.250 0.250 0.250  0.00
Zn: 0.500 0.500 0.500  0.03
Ag: 0.000 0.000 0.000  0.06
W: 0.750 0.750 0.750  0.97


[5]
Entry from OQMD via LeMat-Bulk: Y2Ag after structural relaxation (PBE-GGA).

## Properties
* crystal system: hexagonal

Lattice parameters (Å, degrees): 8.697 8.697 3.645 90.00 90.00 120.00
Fractional coordinates of all 9 atoms:
Y: 0.000 0.726 0.000
Y: 0.000 0.390 0.500
Ag: 0.333 0.667 0.000
Y: 0.726 0.000 0.000
Ag: 0.000 0.000 0.500
Ag: 0.667 0.333 0.000
Y: 0.390 0.000 0.500
Y: 0.274 0.274 0.000
Y: 0.610 0.610 0.500


[6]
Entry from OQMD via LeMat-Bulk: Y2Ag after structural relaxation (PBE-GGA).

## Properties
* crystal system: cubic

Lattice parameters (Å, degrees): 6.194 6.194 6.194 60.00 60.00 60.00
Fractional coordinates of all 6 atoms:
Ag: 0.000 0.000 0.000
Y: 0.625 0.625 0.625
Ag: 0.250 0.250 0.250
Y: 0.125 0.625 0.625
Y: 0.625 0.625 0.125
Y: 0.625 0.125 0.625


[7]
Entry from OQMD via LeMat-Bulk: Y2Ag after structural relaxation (PBE-GGA).

## Properties
* crystal system: cubic

Lattice parameters (Å, degrees): 8.860 8.860 8.860 60.00 60.00 60.00
Fractional coordinates of all 6 atoms:
Ag: 0.250 0.250 0.250
Y: 0.875 0.375 0.375
Y: 0.375 0.375 0.875
Y: 0.375 0.875 0.375
Ag: 0.500 0.500 0.500
Y: 0.375 0.375 0.375


[8]
Entry from OQMD via LeMat-Bulk: YZnAg2 after structural relaxation (PBE-GGA).

## Properties
* crystal system: cubic

Lattice parameters (Å, degrees): 4.837 4.837 4.837 60.00 60.00 60.00
Fractional coordinates of all 4 atoms:
Zn: 0.250 0.250 0.250
Ag: 0.000 0.000 0.000
Y: 0.500 0.500 0.500
Ag: 0.750 0.750 0.750


[9]
Entry from OQMD via LeMat-Bulk: Y5ZnAg4 after structural relaxation (PBE-GGA).

## Properties
* crystal system: tetragonal

Lattice parameters (Å, degrees): 3.634 3.634 18.155 90.00 90.00 90.00
Fractional coordinates of all 10 atoms:
Ag: 0.000 0.000 0.399
Y: 0.500 0.500 0.500
Y: 0.500 0.500 0.904
Ag: 0.000 0.000 0.601
Y: 0.500 0.500 0.298
Y: 0.500 0.500 0.096
Zn: 0.000 0.000 0.000
Ag: 0.000 0.000 0.804
Y: 0.500 0.500 0.702
Ag: 0.000 0.000 0.196


[10]
Entry from OQMD via LeMat-Bulk: YZn2Ag after structural relaxation (PBE-GGA).

## Properties
* crystal system: cubic

Lattice parameters (Å, degrees): 4.750 4.750 4.750 60.00 60.00 60.00
Fractional coordinates of all 4 atoms:
Zn: 0.250 0.250 0.250
Zn: 0.000 0.000 0.000
Ag: 0.750 0.750 0.750
Y: 0.500 0.500 0.500


[11]
Entry from OQMD via LeMat-Bulk: Y2Zn15Ag2 after structural relaxation (PBE-GGA).

## Properties
* crystal system: trigonal

Lattice parameters (Å, degrees): 6.815 6.815 6.815 82.92 82.92 82.92
Fractional coordinates of all 19 atoms:
Zn: 0.353 0.353 0.837
Y: 0.341 0.341 0.341
Ag: 0.107 0.107 0.107
Y: 0.659 0.659 0.659
Zn: 0.000 0.703 0.297
Zn: 0.297 0.703 0.000
Zn: 0.163 0.647 0.647
Zn: 0.703 0.297 0.000
Zn: 0.500 0.000 0.000
Zn: 0.837 0.353 0.353
Zn: 0.000 0.000 0.500
Zn: 0.000 0.297 0.703
Zn: 0.647 0.647 0.163
Zn: 0.703 0.000 0.297
Zn: 0.647 0.163 0.647
Zn: 0.297 0.000 0.703
Zn: 0.000 0.500 0.000
Ag: 0.893 0.893 0.893
Zn: 0.353 0.837 0.353


[12]
Entry from OQMD via LeMat-Bulk: Y2ZnAg after structural relaxation (PBE-GGA).

## Properties
* crystal system: cubic

Lattice parameters (Å, degrees): 5.040 5.040 5.040 60.00 60.00 60.00
Last column: magnetic moment on the atom in μB.
Fractional coordinates of all 4 atoms:
Y: 0.000 0.000 0.000  0.26
Ag: 0.250 0.250 0.250  0.03
Y: 0.750 0.750 0.750  0.32
Zn: 0.500 0.500 0.500  0.01


[13]
Entry from OQMD via LeMat-Bulk: YZn2Ag after structural relaxation (PBE-GGA).

## Properties
* crystal system: cubic

Lattice parameters (Å, degrees): 4.750 4.750 4.750 60.00 60.00 60.00
Fractional coordinates of all 4 atoms:
Ag: 0.000 0.000 0.000
Zn: 0.750 0.750 0.750
Y: 0.250 0.250 0.250
Zn: 0.500 0.500 0.500


[14]
Entry from OQMD via LeMat-Bulk: YZnAg2 after structural relaxation (PBE-GGA).

## Properties
* crystal system: cubic

Lattice parameters (Å, degrees): 4.841 4.841 4.841 60.00 60.00 60.00
Fractional coordinates of all 4 atoms:
Ag: 0.000 0.000 0.000
Y: 0.250 0.250 0.250
Ag: 0.750 0.750 0.750
Zn: 0.500 0.500 0.500


[15]
Entry from OQMD via LeMat-Bulk: YZnAg after structural relaxation (PBE-GGA).

## Properties
* crystal system: cubic

Lattice parameters (Å, degrees): 4.678 4.678 4.678 60.00 60.00 60.00
Fractional coordinates of all 3 atoms:
Y: 0.250 0.250 0.250
Ag: 0.000 0.000 0.000
Zn: 0.750 0.750 0.750


[16]
Entry from OQMD via LeMat-Bulk: YZn2Ag2 after structural relaxation (PBE-GGA).

## Properties
* crystal system: tetragonal

Lattice parameters (Å, degrees): 6.707 6.707 6.707 144.80 144.80 50.64
Fractional coordinates of all 5 atoms:
Ag: 0.389 0.389 0.000
Ag: 0.611 0.611 0.000
Y: 0.000 0.000 0.000
Zn: 0.250 0.750 0.500
Zn: 0.750 0.250 0.500


[17]
Entry from OQMD via LeMat-Bulk: YZrAg4 after structural relaxation (PBE-GGA).

## Properties
* crystal system: tetragonal

Lattice parameters (Å, degrees): 3.648 3.648 9.181 90.00 90.00 90.00
Last column: magnetic moment on the atom in μB.
Fractional coordinates of all 6 atoms:
Ag: 0.500 0.500 0.178  0.00
Ag: 0.000 0.000 0.664  0.02
Ag: 0.500 0.500 0.822  0.00
Zr: 0.500 0.500 0.500  0.26
Y: 0.000 0.000 0.000  -0.01
Ag: 0.000 0.000 0.336  0.02


[18]
Entry from OQMD via LeMat-Bulk: ZnAg3 after structural relaxation (PBE-GGA).

## Properties
* crystal system: orthorhombic

Lattice parameters (Å, degrees): 4.727 5.785 5.011 90.00 90.00 90.00
Fractional coordinates of all 8 atoms:
Zn: 0.500 0.500 0.172
Ag: 0.500 0.000 0.160
Ag: 0.000 0.500 0.840
Zn: 0.000 0.000 0.828
Ag: 0.000 0.750 0.332
Ag: 0.000 0.250 0.332
Ag: 0.500 0.250 0.668
Ag: 0.500 0.750 0.668


[19]
Entry from OQMD via LeMat-Bulk: Zn7Ag2 after structural relaxation (PBE-GGA).

## Properties
* crystal system: orthorhombic

Lattice parameters (Å, degrees): 5.066 5.066 12.649 90.00 90.00 59.07
Fractional coordinates of all 18 atoms:
Ag: 0.681 0.319 0.377
Zn: 0.969 0.344 0.572
Zn: 0.324 0.152 0.750
Zn: 0.152 0.324 0.250
Zn: 0.031 0.656 0.428
Zn: 0.656 0.031 0.928
Ag: 0.681 0.319 0.123
Zn: 0.202 0.798 0.250
Zn: 0.344 0.969 0.072
Zn: 0.798 0.202 0.750
Ag: 0.319 0.681 0.623
Zn: 0.676 0.848 0.250
Zn: 0.656 0.031 0.572
Zn: 0.344 0.969 0.428
Zn: 0.969 0.344 0.928
Ag: 0.319 0.681 0.877
Zn: 0.848 0.676 0.750
Zn: 0.031 0.656 0.072


[20]
Entry from OQMD via LeMat-Bulk: ZnAg after structural relaxation (PBE-GGA).

## Properties
* crystal system: monoclinic

Lattice parameters (Å, degrees): 4.940 7.555 4.585 90.00 90.00 70.97
Fractional coordinates of all 10 atoms:
Ag: 0.818 0.391 0.000
Zn: 0.853 0.600 0.500
Ag: 0.609 0.809 0.000
Zn: 0.669 0.004 0.500
Zn: 0.073 0.196 0.500
Zn: 0.400 0.194 0.000
Zn: 0.994 0.006 0.000
Ag: 0.461 0.389 0.500
Ag: 0.205 0.600 0.000
Ag: 0.251 0.811 0.500


| no. | calculated formation energy (eV/atom) | final energy (eV per atom) |
| --- | --- | --- |
| 1 | 0.61 | -6.57 |
| 2 | 0.52 | -8.28 |
| 3 | 0.66 | -3.92 |
| 4 | 0.73 | -4.24 |
| 5 | -0.12 | -5.37 |
| 6 | 0.48 | -4.77 |
| 7 | 1.44 | -3.81 |
| 8 | -0.24 | -3.59 |
| 9 | -0.35 | -4.84 |
| 10 | -0.27 | -3.23 |
| 11 | -0.24 | -2.21 |
| 12 | 0.02 | -4.23 |
| 13 | -0.27 | -3.23 |
| 14 | -0.24 | -3.59 |
| 15 | -0.10 | -3.62 |
| 16 | -0.20 | -3.13 |
| 17 | -0.19 | -4.57 |
| 18 | -0.03 | -2.46 |
| 19 | -0.02 | -1.63 |
| 20 | -0.04 | -2.08 |